This record from the Alexandria database describes crystalline Tb2YZn at its relaxed geometry. The functional is PBE-GGA.

```
Tb2YZn
1.0
3.5872 0.0000 0.0000
0.0000 3.5872 0.0000
0.0000 0.0000 8.6203
Tb Y Zn
2 1 1
Direct
0.0000 0.0000 0.2057 Tb
0.0000 0.0000 0.7943 Tb
0.5000 0.5000 0.5000 Y
0.5000 0.5000 0.0000 Zn
```

Results
spin magnetization	0.00	μB/cell
V	110.9	Å³ per cell
excess energy over the best structure of this formula in the dataset	0	meV/atom
symmetry	P4/mmm
formation energy from the elements	-0.16	eV per atom



This record from the Alexandria database describes crystalline Cs2Tl2RhO6 at its relaxed geometry. The functional is PBE-GGA.

```
Cs2Tl2RhO6
1.0
5.9098 0.0224 0.0557
-2.9015 5.1486 0.0557
-1.0707 -1.8404 6.7818
O Rh Tl Cs
6 1 2 2
Direct
0.7664 0.7664 0.6590 O
0.6574 0.9476 0.3412 O
0.3426 0.0524 0.6588 O
0.2336 0.2336 0.3410 O
0.0524 0.3426 0.6588 O
0.9476 0.6574 0.3412 O
0.0000 0.0000 0.5000 Rh
0.6648 0.3352 0.5000 Tl
0.3352 0.6648 0.5000 Tl
0.1687 0.8313 0.0000 Cs
0.8313 0.1687 0.0000 Cs
```

Results
spin magnetization	1.06	μB/cell
V	208.0	Å³ per cell
ΔE_f (raw)	-88.7	kJ per mole of atoms
symmetry	C2/m



- The highest spin magnetization belongs to which entry?
  Cs2Tl2RhO6